# Rb2LiIr, optimized geometry, DFT PBE-GGA
# Space group: Fm-3m, No. 225
# M_tot in μB/f.u.: 0.00
# Distance to the lowest polymorph of the same formula in meV/atom: 0
# E_form in eV per atom: 0.887
# DOS at the Fermi energy in states/eV/f.u.: 10.4
# E_tot in Ha/atom: -0.0842
data_Rb2LiIr
_chemical_formula_sum 'Rb2 Li1 Ir1'
_symmetry_space_group_name_H-M 'P 1'
_symmetry_Int_Tables_number 1
_symmetry_space_group_name_Hall 'P 1'
_cell_length_a 5.6006
_cell_length_b 5.6006
_cell_length_c 5.6006
_cell_angle_alpha 60.00
_cell_angle_beta 60.00
_cell_angle_gamma 60.00
loop_
_atom_site_label
_atom_site_fract_x
_atom_site_fract_y
_atom_site_fract_z
Li1 0.0000 0.0000 0.0000
Ir1 0.5000 0.5000 0.5000
Rb1 0.7500 0.7500 0.7500
Rb2 0.2500 0.2500 0.2500